{
  "formula": "NbFe2HPt",
  "functional": "PBE-GGA",
  "state": "relaxed",
  "e_above_lowest_polymorph_ev_per_atom": 0.0000,
  "mass_density_g_cm3": 11.89,
  "spacegroup": "No. 123",
  "cell": [[3.804, 0.000, 0.000], [0.000, 3.804, 0.000], [0.000, 0.000, 3.867]],
  "species": ["H", "Nb", "Fe", "Fe", "Pt"],
  "fractional_positions": [[0.000, 0.000, 0.000], [0.000, 0.000, 0.500], [0.000, 0.500, 0.000], [0.500, 0.000, 0.000], [0.500, 0.500, 0.500]]
}

=====

{
  "formula": "Nb2FeHPt",
  "functional": "PBE-GGA",
  "state": "relaxed",
  "e_above_lowest_polymorph_ev_per_atom": 0.1116,
  "mass_density_g_cm3": 10.99,
  "spacegroup": "No. 123",
  "cell": [[-2.040, 2.597, -2.396], [-3.056, -2.686, -0.310], [-1.728, 1.597, 3.202]],
  "species": ["H", "Nb", "Nb", "Fe", "Pt"],
  "fractional_positions": [[0.000, 0.000, 0.000], [0.000, 0.500, 0.000], [0.500, 0.000, 0.000], [0.500, 0.500, 0.500], [0.000, 0.000, 0.500]]
}

=====

{
  "formula": "NbFe2HPt",
  "functional": "PBE-GGA",
  "state": "relaxed",
  "e_above_lowest_polymorph_ev_per_atom": 0.0228,
  "mass_density_g_cm3": 11.65,
  "spacegroup": "No. 123",
  "cell": [[3.885, 0.000, 0.000], [0.000, 3.885, 0.000], [0.000, 0.000, 3.785]],
  "species": ["H", "Nb", "Fe", "Fe", "Pt"],
  "fractional_positions": [[0.000, 0.000, 0.000], [0.500, 0.500, 0.500], [0.000, 0.500, 0.000], [0.500, 0.000, 0.000], [0.000, 0.000, 0.500]]
}

=====

{
  "formula": "Nb2FeReH",
  "functional": "PBE-GGA",
  "state": "relaxed",
  "mass_density_g_cm3": 10.96,
  "spacegroup": "No. 123",
  "final_energy_ev_per_atom": -8.9959,
  "cell": [[-0.183, 1.696, 4.086], [-2.434, -3.454, 1.325], [2.765, -1.640, 0.804]],
  "species": ["Re", "Nb", "Nb", "Fe", "H"],
  "fractional_positions": [[0.500, 0.500, 0.500], [0.000, 0.500, 0.000], [0.500, 0.000, 0.000], [0.000, 0.000, 0.500], [0.000, 0.000, 0.000]]
}

=====

{
  "formula": "Nb2FeHRh",
  "functional": "PBE-GGA",
  "state": "relaxed",
  "e_above_lowest_polymorph_ev_per_atom": 0.0627,
  "mass_density_g_cm3": 8.88,
  "spacegroup": "No. 123",
  "cell": [[4.073, 0.000, 0.000], [0.000, 4.073, 0.000], [0.000, 0.000, 3.894]],
  "species": ["H", "Nb", "Nb", "Rh", "Fe"],
  "fractional_positions": [[0.000, 0.000, 0.000], [0.000, 0.500, 0.000], [0.500, 0.000, 0.000], [0.000, 0.000, 0.500], [0.500, 0.500, 0.500]]
}

=====

{
  "formula": "Nb2FeHRh",
  "functional": "PBE-GGA",
  "state": "relaxed",
  "e_above_lowest_polymorph_ev_per_atom": 0.0000,
  "mass_density_g_cm3": 9.13,
  "spacegroup": "No. 123",
  "cell": [[4.128, 0.000, 0.000], [0.000, 4.128, 0.000], [0.000, 0.000, 3.690]],
  "species": ["H", "Nb", "Nb", "Rh", "Fe"],
  "fractional_positions": [[0.000, 0.000, 0.000], [0.000, 0.500, 0.000], [0.500, 0.000, 0.000], [0.500, 0.500, 0.500], [0.000, 0.000, 0.500]]
}

=====

{
  "formula": "Nb2FeSbH",
  "functional": "PBE-GGA",
  "state": "relaxed",
  "mass_density_g_cm3": 8.54,
  "spacegroup": "No. 123",
  "final_energy_ev_per_atom": -7.2637,
  "cell": [[4.094, 0.000, 0.000], [0.000, 4.094, 0.000], [0.000, 0.000, 4.228]],
  "species": ["Sb", "Nb", "Nb", "Fe", "H"],
  "fractional_positions": [[0.500, 0.500, 0.500], [0.000, 0.500, 0.000], [0.500, 0.000, 0.000], [0.000, 0.000, 0.500], [0.000, 0.000, 0.000]]
}

=====

{
  "formula": "NbFeSn2H",
  "functional": "PBE-GGA",
  "state": "relaxed",
  "mass_density_g_cm3": 7.82,
  "spacegroup": "No. 123",
  "final_energy_ev_per_atom": -5.5241,
  "cell": [[5.132, 0.000, 0.000], [0.000, 3.122, 0.000], [0.000, 0.000, 5.132]],
  "species": ["H", "Nb", "Sn", "Sn", "Fe"],
  "fractional_positions": [[0.000, 0.500, 0.000], [0.500, 0.500, 0.500], [0.000, 0.000, 0.500], [0.500, 0.000, 0.000], [0.000, 0.000, 0.000]]
}

=====

{
  "formula": "Nb2FeSnH",
  "functional": "PBE-GGA",
  "state": "relaxed",
  "mass_density_g_cm3": 8.44,
  "spacegroup": "No. 123",
  "final_energy_ev_per_atom": -7.2928,
  "cell": [[-0.352, 3.603, -1.935], [-2.669, 1.270, 2.849], [3.186, 1.545, 2.296]],
  "species": ["H", "Nb", "Nb", "Sn", "Fe"],
  "fractional_positions": [[0.000, 0.000, 0.000], [0.000, 0.500, 0.000], [0.500, 0.000, 0.000], [0.500, 0.500, 0.500], [0.000, 0.000, 0.500]]
}

=====

{
  "formula": "Ta2NbFeH",
  "functional": "PBE-GGA",
  "state": "relaxed",
  "mass_density_g_cm3": 12.66,
  "spacegroup": "No. 123",
  "final_energy_ev_per_atom": -9.1825,
  "cell": [[4.465, 0.000, 0.000], [0.000, 4.465, 0.000], [0.000, 0.000, 3.366]],
  "species": ["H", "Nb", "Fe", "Ta", "Ta"],
  "fractional_positions": [[0.000, 0.000, 0.000], [0.500, 0.500, 0.500], [0.000, 0.000, 0.500], [0.000, 0.500, 0.000], [0.500, 0.000, 0.000]]
}

=====

{
  "formula": "NbFe2TcH",
  "functional": "PBE-GGA",
  "state": "relaxed",
  "e_above_lowest_polymorph_ev_per_atom": 0.0210,
  "mass_density_g_cm3": 9.02,
  "spacegroup": "No. 123",
  "cell": [[-3.253, -1.295, 1.314], [1.826, -1.875, 2.672], [-0.285, 3.170, 2.418]],
  "species": ["H", "Nb", "Tc", "Fe", "Fe"],
  "fractional_positions": [[0.000, 0.000, 0.000], [0.000, 0.000, 0.500], [0.500, 0.500, 0.500], [0.000, 0.500, 0.000], [0.500, 0.000, 0.000]]
}

=====

{
  "formula": "NbFe2TcH",
  "functional": "PBE-GGA",
  "state": "relaxed",
  "e_above_lowest_polymorph_ev_per_atom": 0.0000,
  "mass_density_g_cm3": 9.01,
  "spacegroup": "No. 123",
  "cell": [[3.776, 0.000, 0.000], [0.000, 3.776, 0.000], [0.000, 0.000, 3.926]],
  "species": ["H", "Nb", "Tc", "Fe", "Fe"],
  "fractional_positions": [[0.000, 0.000, 0.000], [0.500, 0.500, 0.500], [0.000, 0.000, 0.500], [0.000, 0.500, 0.000], [0.500, 0.000, 0.000]]
}

=====

{
  "formula": "NbFeTc2H",
  "functional": "PBE-GGA",
  "state": "relaxed",
  "mass_density_g_cm3": 9.47,
  "spacegroup": "No. 123",
  "final_energy_ev_per_atom": -8.5270,
  "cell": [[-3.488, 1.514, -1.244], [-1.953, -2.465, 2.473], [0.161, 2.616, 2.734]],
  "species": ["H", "Nb", "Tc", "Tc", "Fe"],
  "fractional_positions": [[0.000, 0.000, 0.000], [0.500, 0.500, 0.500], [0.000, 0.500, 0.000], [0.500, 0.000, 0.000], [0.000, 0.000, 0.500]]
}

=====

{
  "formula": "ThNbFe2H6",
  "functional": "PBE-GGA",
  "state": "relaxed",
  "mass_density_g_cm3": 8.32,
  "spacegroup": "No. 166",
  "final_energy_ev_per_atom": -5.7695,
  "cell": [[4.388, 0.000, 0.000], [2.194, 3.801, 0.000], [2.194, 1.267, 5.300]],
  "species": ["Th", "Nb", "Fe", "Fe", "H", "H", "H", "H", "H", "H"],
  "fractional_positions": [[0.000, 0.000, 0.000], [0.500, 0.500, 0.500], [0.792, 0.792, 0.623], [0.208, 0.208, 0.377], [0.078, 0.560, 0.802], [0.560, 0.078, 0.802], [0.440, 0.440, 0.198], [0.922, 0.440, 0.198], [0.440, 0.922, 0.198], [0.560, 0.560, 0.802]]
}

=====

{
  "formula": "NbVFe2H",
  "functional": "PBE-GGA",
  "state": "relaxed",
  "e_above_lowest_polymorph_ev_per_atom": 0.0000,
  "mass_density_g_cm3": 7.86,
  "spacegroup": "No. 123",
  "cell": [[-0.359, -3.686, 0.705], [3.263, 0.044, 1.888], [-1.876, 0.799, 3.223]],
  "species": ["H", "Nb", "Fe", "Fe", "V"],
  "fractional_positions": [[0.000, 0.000, 0.000], [0.500, 0.500, 0.500], [0.000, 0.500, 0.000], [0.500, 0.000, 0.000], [0.000, 0.000, 0.500]]
}

=====

{
  "formula": "NbV2FeH",
  "functional": "PBE-GGA",
  "state": "relaxed",
  "mass_density_g_cm3": 7.13,
  "spacegroup": "No. 123",
  "final_energy_ev_per_atom": -7.9722,
  "cell": [[3.650, 0.000, 0.000], [0.000, 3.650, 0.000], [0.000, 0.000, 4.401]],
  "species": ["H", "Nb", "Fe", "V", "V"],
  "fractional_positions": [[0.000, 0.000, 0.000], [0.500, 0.500, 0.500], [0.000, 0.000, 0.500], [0.000, 0.500, 0.000], [0.500, 0.000, 0.000]]
}

=====

{
  "formula": "NbVFe2H",
  "functional": "PBE-GGA",
  "state": "relaxed",
  "e_above_lowest_polymorph_ev_per_atom": 0.0285,
  "mass_density_g_cm3": 7.65,
  "spacegroup": "No. 123",
  "cell": [[-3.447, -0.035, -1.273], [-0.568, -3.246, 1.626], [-1.279, 1.933, 3.412]],
  "species": ["H", "Nb", "Fe", "Fe", "V"],
  "fractional_positions": [[0.000, 0.000, 0.000], [0.000, 0.000, 0.500], [0.000, 0.500, 0.000], [0.500, 0.000, 0.000], [0.500, 0.500, 0.500]]
}

=====

{
  "formula": "NbFe2HW",
  "functional": "PBE-GGA",
  "state": "relaxed",
  "e_above_lowest_polymorph_ev_per_atom": 0.0000,
  "mass_density_g_cm3": 11.27,
  "spacegroup": "No. 123",
  "cell": [[3.807, 0.000, 0.000], [0.000, 3.807, 0.000], [0.000, 0.000, 3.960]],
  "species": ["H", "Nb", "Fe", "Fe", "W"],
  "fractional_positions": [[0.000, 0.000, 0.000], [0.000, 0.000, 0.500], [0.000, 0.500, 0.000], [0.500, 0.000, 0.000], [0.500, 0.500, 0.500]]
}

=====

{
  "formula": "NbFe2HW",
  "functional": "PBE-GGA",
  "state": "relaxed",
  "e_above_lowest_polymorph_ev_per_atom": 0.0133,
  "mass_density_g_cm3": 11.24,
  "spacegroup": "No. 123",
  "cell": [[-3.428, 1.499, 0.787], [-0.450, -2.520, 2.840], [1.681, 2.526, 2.508]],
  "species": ["H", "Nb", "Fe", "Fe", "W"],
  "fractional_positions": [[0.000, 0.000, 0.000], [0.500, 0.500, 0.500], [0.000, 0.500, 0.000], [0.500, 0.000, 0.000], [0.000, 0.000, 0.500]]
}

=====

{
  "formula": "Nb2ZnFeH",
  "functional": "PBE-GGA",
  "state": "relaxed",
  "mass_density_g_cm3": 7.95,
  "spacegroup": "No. 123",
  "final_energy_ev_per_atom": -6.7152,
  "cell": [[-3.994, 1.076, 0.054], [-0.103, -0.177, -4.132], [-0.974, -3.625, 0.180]],
  "species": ["H", "Nb", "Nb", "Zn", "Fe"],
  "fractional_positions": [[0.000, 0.000, 0.000], [0.000, 0.500, 0.000], [0.500, 0.000, 0.000], [0.500, 0.500, 0.500], [0.000, 0.000, 0.500]]
}